A plane-wave DFT calculation with PBE+U was carried out for a relaxed structure of MnIrO3.

Properties
magnetization = 4.229 μB per formula unit
energy = -6.73 eV/atom
crystal system = cubic

Cell: 3.8965 3.8965 3.8965 Å, 90.00 90.00 90.00°
Space group Pm-3m (No. 221)
One atom of each set of equivalent atoms:
Mn 0.0000 0.0000 0.0000
Ir 0.5000 0.5000 0.5000
O 0.0000 0.5000 0.5000